(1)
Below is a geometry-optimized Ba6Ag2Ru structure, with properties calculated at the PBE level.

Cell lengths 7.7686, 8.9304, 13.7824 Å; angles 90.00, 122.86, 90.00 degrees
Space group P2_1/c (No. 14)
One atom of each set of equivalent atoms:
Ba (0.1117, 0.0369, 0.2439) (multiplicity 4)
Ba (0.2161, 0.6973, 0.0595) (multiplicity 4)
Ba (0.3842, 0.1670, 0.0608) (multiplicity 4)
Ag (0.3056, 0.1121, 0.7486) (multiplicity 4)
Ru (0.0000, 0.0000, 0.0000) (multiplicity 2)

Summary:
spin magnetization = 0.00 μB/cell
DFT formation energy = -49.8 meV per atom

---

(2)
Below is a geometry-optimized BaAg2Ru structure, with properties calculated at the PBE level.

Cell lengths 12.0457, 3.2959, 5.0428 Å; angles 90.00, 114.56, 90.00 degrees
Space group C2/m (No. 12)
One atom of each set of equivalent atoms:
Ba (0.0000, 0.0000, 0.0000) (multiplicity 2)
Ag (0.2147, 0.0000, 0.7137) (multiplicity 4)
Ru (0.0000, 0.5000, 0.5000) (multiplicity 2)

Summary:
energy above the most stable polymorph in this dataset = 189 meV/atom
spin magnetization = 1.91 μB/cell
DFT formation energy = 489.6 meV per atom

---

(3)
Below is a geometry-optimized BaAg2Ru structure, with properties calculated at the PBE level.

Cell lengths 3.5515, 3.5515, 7.3401 Å; angles 90.00, 90.00, 90.00 degrees
Space group P4/mmm (No. 123)
One atom of each set of equivalent atoms:
Ba (0.0000, 0.0000, 0.0000) (multiplicity 1)
Ag (0.5000, 0.5000, 0.3146) (multiplicity 2)
Ru (0.0000, 0.0000, 0.5000) (multiplicity 1)

Summary:
energy above the most stable polymorph in this dataset = 210 meV/atom
spin magnetization = 1.23 μB/cell
DFT formation energy = 510.6 meV per atom

---

(4)
Below is a geometry-optimized Ba2Ag2Ru structure, with properties calculated at the PBE level.

Cell lengths 6.3666, 6.3666, 8.0553 Å; angles 90.00, 90.00, 90.00 degrees
Space group I4/mmm (No. 139)
One atom of each set of equivalent atoms:
Ba (0.0000, 0.5000, 0.2500) (multiplicity 4)
Ag (0.0000, 0.0000, 0.1652) (multiplicity 4)
Ru (0.0000, 0.0000, 0.5000) (multiplicity 2)

Summary:
spin magnetization = 1.86 μB/cell
DFT formation energy = 412.6 meV per atom

---

(5)
Below is a geometry-optimized BaAg2Ru structure, with properties calculated at the PBE level.

Cell lengths 3.4663, 3.4663, 7.7089 Å; angles 90.00, 90.00, 90.00 degrees
Space group P4mm (No. 99)
One atom of each set of equivalent atoms:
Ba (0.0000, 0.0000, 0.0000) (multiplicity 1)
Ag (0.0000, 0.0000, 0.4692) (multiplicity 1)
Ag (0.5000, 0.5000, 0.6640) (multiplicity 1)
Ru (0.5000, 0.5000, 0.2896) (multiplicity 1)

Summary:
energy above the most stable polymorph in this dataset = 218 meV/atom
spin magnetization = 1.19 μB/cell
DFT formation energy = 519.0 meV per atom

---

(6)
Below is a geometry-optimized BaAg2Ru structure, with properties calculated at the PBE level.

Cell lengths 7.2519, 7.2519, 7.2519 Å; angles 90.00, 90.00, 90.00 degrees
Space group Fm-3m (No. 225)
One atom of each set of equivalent atoms:
Ba (0.0000, 0.0000, 0.0000) (multiplicity 4)
Ag (0.2500, 0.2500, 0.2500) (multiplicity 8)
Ru (0.0000, 0.0000, 0.5000) (multiplicity 4)

Summary:
energy above the most stable polymorph in this dataset = 354 meV/atom
spin magnetization = 4.86 μB/cell
DFT formation energy = 654.8 meV per atom

---

(7)
Below is a geometry-optimized BaAg2Ru structure, with properties calculated at the PBE level.

Cell lengths 3.4573, 4.8663, 5.8478 Å; angles 90.00, 105.70, 90.00 degrees
Space group P2/m (No. 10)
One atom of each set of equivalent atoms:
Ba (0.0000, 0.0000, 0.0000) (multiplicity 1)
Ag (0.3303, 0.5000, 0.6942) (multiplicity 2)
Ru (0.5000, 0.0000, 0.5000) (multiplicity 1)

Summary:
energy above the most stable polymorph in this dataset = 235 meV/atom
spin magnetization = 1.10 μB/cell
DFT formation energy = 535.8 meV per atom

---

(8)
Below is a geometry-optimized BaAgSb2Ru structure, with properties calculated at the PBE level.

Cell lengths 5.1399, 5.1399, 5.3767 Å; angles 90.00, 90.00, 90.00 degrees
Space group P4/mmm (No. 123)
One atom of each set of equivalent atoms:
Ba (0.0000, 0.0000, 0.0000) (multiplicity 1)
Ag (0.5000, 0.5000, 0.0000) (multiplicity 1)
Sb (0.0000, 0.5000, 0.5000) (multiplicity 2)
Ru (0.5000, 0.5000, 0.5000) (multiplicity 1)

Summary:
formation energy (no corrections) = -0.163 eV per atom
spin magnetization = 0.00 μB/cell

---

(9)
Below is a geometry-optimized BaScAgRu2 structure, with properties calculated at the PBE level.

Cell lengths 4.7561, 4.7561, 5.9945 Å; angles 90.00, 90.00, 90.00 degrees
Space group P4/mmm (No. 123)
One atom of each set of equivalent atoms:
Ba (0.0000, 0.0000, 0.0000) (multiplicity 1)
Sc (0.0000, 0.0000, 0.5000) (multiplicity 1)
Ag (0.5000, 0.5000, 0.0000) (multiplicity 1)
Ru (0.0000, 0.5000, 0.5000) (multiplicity 2)

Summary:
spin magnetization = 1.83 μB/cell
DFT formation energy = 1152.7 meV per atom

---

(10)
Below is a geometry-optimized BaAgRu2Se structure, with properties calculated at the PBE level.

Cell lengths 5.1117, 5.1117, 5.7271 Å; angles 90.00, 90.00, 90.00 degrees
Space group P4/mmm (No. 123)
One atom of each set of equivalent atoms:
Ba (0.0000, 0.0000, 0.0000) (multiplicity 1)
Ag (0.0000, 0.0000, 0.5000) (multiplicity 1)
Ru (0.0000, 0.5000, 0.0000) (multiplicity 2)
Se (0.5000, 0.5000, 0.5000) (multiplicity 1)

Summary:
formation energy (no corrections) = 2.116 eV per atom
spin magnetization = 3.36 μB/cell

---

(11)
Below is a geometry-optimized Ba2VAgRu structure, with properties calculated at the PBE level.

Cell lengths 6.1059, 6.1059, 4.5766 Å; angles 90.00, 90.00, 90.00 degrees
Space group P4/mmm (No. 123)
One atom of each set of equivalent atoms:
Ba (0.0000, 0.5000, 0.0000) (multiplicity 2)
V (0.0000, 0.0000, 0.5000) (multiplicity 1)
Ag (0.5000, 0.5000, 0.5000) (multiplicity 1)
Ru (0.0000, 0.0000, 0.0000) (multiplicity 1)

Summary:
spin magnetization = 2.68 μB/cell
DFT formation energy = 454.1 meV per atom

---

(12)
Below is a geometry-optimized Ba3AgS structure, with properties calculated at the PBE level.

Cell lengths 6.2659, 6.2659, 6.2659 Å; angles 90.00, 90.00, 90.00 degrees
Space group Pm-3m (No. 221)
One atom of each set of equivalent atoms:
Ba (0.0000, 0.0000, 0.5000) (multiplicity 3)
Ag (0.0000, 0.0000, 0.0000) (multiplicity 1)
S (0.5000, 0.5000, 0.5000) (multiplicity 1)

Summary:
formation energy (no corrections) = -0.166 eV per atom
spin magnetization = 0.00 μB/cell

---

(13)
Below is a geometry-optimized Ba2Ag2S3 structure, with properties calculated at the PBE level.

Cell lengths 12.5949, 4.2783, 7.7789 Å; angles 90.00, 118.84, 90.00 degrees
Space group C2/m (No. 12)
One atom of each set of equivalent atoms:
Ba (0.0660, 0.0000, 0.3192) (multiplicity 4)
Ag (0.2295, 0.5000, 0.1131) (multiplicity 4)
S (0.0000, 0.5000, 0.0000) (multiplicity 2)
S (0.1722, 0.5000, 0.6830) (multiplicity 4)

Summary:
formation energy (no corrections) = -1.163 eV per atom
spin magnetization = 0.00 μB/cell

---

(14)
Below is a geometry-optimized Ba5Ag2S6 structure, with properties calculated at the PBE level.

Cell lengths 11.9442, 15.0471, 4.2704 Å; angles 90.00, 90.00, 90.00 degrees
Space group Pbam (No. 55)
One atom of each set of equivalent atoms:
Ba (0.0000, 0.0000, 0.0000) (multiplicity 2)
Ba (0.0936, 0.2497, 0.0000) (multiplicity 4)
Ba (0.1605, 0.5205, 0.0000) (multiplicity 4)
Ag (0.1489, 0.7412, 0.5000) (multiplicity 4)
S (0.0046, 0.3838, 0.5000) (multiplicity 4)
S (0.1625, 0.0972, 0.5000) (multiplicity 4)
S (0.1675, 0.8353, 0.0000) (multiplicity 4)

Summary:
formation energy (no corrections) = -1.537 eV per atom
spin magnetization = 0.00 μB/cell

---

(15)
Below is a geometry-optimized BaAgS5 structure, with properties calculated at the PBE level.

Cell lengths 8.7015, 7.6785, 11.4690 Å; angles 90.00, 108.20, 90.00 degrees
Space group C2/c (No. 15)
One atom of each set of equivalent atoms:
Ba (0.0000, 0.1445, 0.2500) (multiplicity 4)
Ag (0.2500, 0.2500, 0.0000) (multiplicity 4)
S (0.0000, 0.3398, 0.7500) (multiplicity 4)
S (0.1177, 0.4886, 0.6588) (multiplicity 8)
S (0.1255, 0.0180, 0.5347) (multiplicity 8)

Summary:
formation energy (no corrections) = -0.528 eV per atom
spin magnetization = 0.00 μB/cell

---

(16)
Below is a geometry-optimized Ba2AgS structure, with properties calculated at the PBE level.

Cell lengths 4.5603, 4.5603, 24.5450 Å; angles 90.00, 90.00, 120.00 degrees
Space group R3m (No. 160, hexagonal axes)
One atom of each set of equivalent atoms:
Ba (0.0000, 0.0000, 0.0000) (multiplicity 3)
Ba (0.0000, 0.0000, 0.1833) (multiplicity 3)
Ag (0.0000, 0.0000, 0.7596) (multiplicity 3)
S (0.0000, 0.0000, 0.5936) (multiplicity 3)

Summary:
formation energy (no corrections) = -1.024 eV per atom
spin magnetization = 0.00 μB/cell

---

(17)
Below is a geometry-optimized BaAg3S structure, with properties calculated at the PBE level.

Cell lengths 5.9556, 5.9556, 5.9556 Å; angles 90.00, 90.00, 90.00 degrees
Space group Pm-3m (No. 221)
One atom of each set of equivalent atoms:
Ba (0.0000, 0.0000, 0.0000) (multiplicity 1)
Ag (0.0000, 0.0000, 0.5000) (multiplicity 3)
S (0.5000, 0.5000, 0.5000) (multiplicity 1)

Summary:
energy above the most stable polymorph in this dataset = 1235 meV/atom
formation energy (no corrections) = 1.267 eV per atom
spin magnetization = 0.01 μB/cell

---

(18)
Below is a geometry-optimized Ba3Ag2S4 structure, with properties calculated at the PBE level.

Cell lengths 14.6602, 4.3016, 9.3814 Å; angles 90.00, 123.82, 90.00 degrees
Space group C2/m (No. 12)
One atom of each set of equivalent atoms:
Ba (0.0000, 0.0000, 0.0000) (multiplicity 2)
Ba (0.1369, 0.5000, 0.7247) (multiplicity 4)
Ag (0.1818, 0.5000, 0.3731) (multiplicity 4)
S (0.0840, 0.0000, 0.4025) (multiplicity 4)
S (0.1790, 0.5000, 0.0929) (multiplicity 4)

Summary:
formation energy (no corrections) = -1.387 eV per atom
spin magnetization = 0.00 μB/cell

---

(19)
Below is a geometry-optimized Ba2AgS structure, with properties calculated at the PBE level.

Cell lengths 8.4367, 8.4367, 9.3120 Å; angles 90.00, 90.00, 90.00 degrees
Space group I-42d (No. 122)
One atom of each set of equivalent atoms:
Ba (0.2167, 0.7500, 0.1250) (multiplicity 8)
Ag (0.0000, 0.0000, 0.5000) (multiplicity 4)
S (0.0000, 0.0000, 0.0000) (multiplicity 4)

Summary:
formation energy (no corrections) = -0.888 eV per atom
spin magnetization = 0.00 μB/cell

---

(20)
Below is a geometry-optimized Ba2AgS structure, with properties calculated at the PBE level.

Cell lengths 4.5973, 4.5973, 24.3276 Å; angles 90.00, 90.00, 120.00 degrees
Space group R-3m (No. 166, hexagonal axes)
One atom of each set of equivalent atoms:
Ba (0.0000, 0.0000, 0.2423) (multiplicity 6)
Ag (0.0000, 0.0000, 0.0000) (multiplicity 3)
S (0.0000, 0.0000, 0.5000) (multiplicity 3)

Summary:
formation energy (no corrections) = -1.034 eV per atom
spin magnetization = 0.44 μB/cell

---

(21)
Below is a geometry-optimized Ba2AgS2 structure, with properties calculated at the PBE level.

Cell lengths 8.4729, 8.4729, 4.1009 Å; angles 90.00, 90.00, 90.00 degrees
Space group P4/mbm (No. 127)
One atom of each set of equivalent atoms:
Ba (0.1545, 0.3455, 0.0000) (multiplicity 4)
Ag (0.0000, 0.0000, 0.5000) (multiplicity 2)
S (0.1544, 0.6544, 0.5000) (multiplicity 4)

Summary:
formation energy (no corrections) = -1.287 eV per atom
spin magnetization = 0.00 μB/cell

---

(22)
Below is a geometry-optimized BaAg3S4 structure, with properties calculated at the PBE level.

Cell lengths 6.7610, 6.7610, 8.6316 Å; angles 90.00, 90.00, 90.00 degrees
Space group I-42m (No. 121)
One atom of each set of equivalent atoms:
Ba (0.0000, 0.0000, 0.0000) (multiplicity 2)
Ag (0.0000, 0.0000, 0.5000) (multiplicity 2)
Ag (0.0000, 0.5000, 0.2500) (multiplicity 4)
S (0.1947, 0.1947, 0.6967) (multiplicity 8)

Summary:
formation energy (no corrections) = -0.423 eV per atom
spin magnetization = 0.00 μB/cell

---

(23)
Below is a geometry-optimized Ba6Ag2S structure, with properties calculated at the PBE level.

Cell lengths 7.8867, 8.8720, 14.1829 Å; angles 90.00, 123.51, 90.00 degrees
Space group P2_1/c (No. 14)
One atom of each set of equivalent atoms:
Ba (0.1015, 0.0410, 0.2455) (multiplicity 4)
Ba (0.2298, 0.6857, 0.0663) (multiplicity 4)
Ba (0.3952, 0.1791, 0.0687) (multiplicity 4)
Ag (0.3045, 0.1107, 0.7512) (multiplicity 4)
S (0.0000, 0.0000, 0.0000) (multiplicity 2)

Summary:
formation energy (no corrections) = -0.537 eV per atom
spin magnetization = 0.00 μB/cell

---

(24)
Below is a geometry-optimized BaAg2S structure, with properties calculated at the PBE level.

Cell lengths 4.2614, 4.2614, 25.0955 Å; angles 90.00, 90.00, 90.00 degrees
Space group I-42d (No. 122)
One atom of each set of equivalent atoms:
Ba (0.0000, 0.0000, 0.0000) (multiplicity 4)
Ag (0.2449, 0.2500, 0.6250) (multiplicity 8)
S (0.0000, 0.0000, 0.5000) (multiplicity 4)

Summary:
formation energy (no corrections) = -0.472 eV per atom
spin magnetization = 0.00 μB/cell

---

(25)
Below is a geometry-optimized Ba2AgS structure, with properties calculated at the PBE level.

Cell lengths 4.0012, 4.0012, 7.9722 Å; angles 90.00, 90.00, 90.00 degrees
Space group P4/mmm (No. 123)
One atom of each set of equivalent atoms:
Ba (0.0000, 0.0000, 0.2300) (multiplicity 2)
Ag (0.5000, 0.5000, 0.5000) (multiplicity 1)
S (0.5000, 0.5000, 0.0000) (multiplicity 1)

Summary:
formation energy (no corrections) = -0.983 eV per atom
spin magnetization = 0.00 μB/cell